Crystalline Tm2MgCu at its relaxed geometry. Source: Alexandria, functional PBE.

CIF file:
```
data_Tm2MgCu
_chemical_formula_sum 'Tm2 Mg1 Cu1'
_space_group_name_H-M_alt 'P 4/m m m'
_space_group_IT_number 123
_space_group_name_Hall '-P 4 2'
_cell_length_a 3.4290
_cell_length_b 3.4290
_cell_length_c 7.9822
_cell_angle_alpha 90.00
_cell_angle_beta 90.00
_cell_angle_gamma 90.00
loop_
_atom_site_label
_atom_site_type_symbol
_atom_site_fract_x
_atom_site_fract_y
_atom_site_fract_z
_atom_site_occupancy
Tm1 Tm 0.0000 0.0000 0.2094 1
Mg1 Mg 0.5000 0.5000 0.5000 1
Cu1 Cu 0.5000 0.5000 0.0000 1
```

Summary:
E_form in eV/atom: -0.1637
Calculated volume in Å³/f.u.: 93.9
Density in g cm⁻³: 7.53